Material: Ce4GaSb3
Method: DFT, PBE-GGA
State: relaxed

Cell: 7.6393 7.6393 5.9983 Å, 107.98 107.98 43.89°
Closest atoms and distances in Å follow each position.
Element x y z (fractional)
Ce (0.1056, 0.1056, 0.0419)  1 Ce 2.86, 1 Ga 3.09, 2 Sb 3.19
Ce (0.2481, 0.2481, 0.6843)  5 Sb 3.21-3.44, 1 Ga 3.32, 3 Ce 3.40-3.59
Ce (0.7519, 0.7519, 0.3157)  5 Sb 3.21-3.44, 1 Ga 3.32, 3 Ce 3.40-3.59
Ce (0.8944, 0.8944, 0.9581)  1 Ce 2.86, 1 Ga 3.09, 2 Sb 3.19
Ga (0.0000, 0.0000, 0.5000)  4 Ce 3.09-3.32
Sb (0.3477, 0.3477, 0.2704)  1 Sb 3.10, 5 Ce 3.21-3.32
Sb (0.5000, 0.5000, 0.0000)  2 Sb 3.10, 6 Ce 3.19-3.44
Sb (0.6523, 0.6523, 0.7296)  1 Sb 3.10, 5 Ce 3.21-3.32

Output
V	28.604	Å³ per atom
size of the total moment	5.4	μB per formula unit
Fermi-level density of states	20.6	states/eV/f.u.
E	-5.339	eV/atom
ΔE_f (raw)	-0.45	eV per atom